# 1
LaGdMgAl GGA-PBE optimized geometry; raw total energy = -25.4 eV per cell; crystal system = cubic
1.0
0.000 3.788 3.788
3.788 0.000 3.788
3.788 3.788 0.000
La Gd Mg Al
1 1 1 1
Direct
0.000 0.000 0.000
0.500 0.500 0.500
0.750 0.750 0.750
0.250 0.250 0.250

=====

# 2
LaGdAlPd GGA-PBE optimized geometry; raw total energy = -30.0 eV per cell; crystal system = cubic
1.0
0.000 3.690 3.690
3.690 0.000 3.690
3.690 3.690 0.000
La Gd Al Pd
1 1 1 1
Direct
0.000 0.000 0.000
0.500 0.500 0.500
0.750 0.750 0.750
0.250 0.250 0.250

=====

# 3
LaPmGdAl GGA-PBE optimized geometry; raw total energy = -27.8 eV per cell; crystal system = cubic
1.0
0.000 3.887 3.887
3.887 0.000 3.887
3.887 3.887 0.000
La Pm Gd Al
1 1 1 1
Direct
0.000 0.000 0.000
0.500 0.500 0.500
0.750 0.750 0.750
0.250 0.250 0.250

=====

# 4
LaGdAlRh GGA-PBE optimized geometry; raw total energy = -31.9 eV per cell; crystal system = cubic
1.0
0.000 3.634 3.634
3.634 0.000 3.634
3.634 3.634 0.000
La Gd Al Rh
1 1 1 1
Direct
0.000 0.000 0.000
0.500 0.500 0.500
0.750 0.750 0.750
0.250 0.250 0.250

=====

# 5
LaSmGdAl GGA-PBE optimized geometry; raw total energy = -27.8 eV per cell; crystal system = cubic
1.0
0.000 3.881 3.881
3.881 0.000 3.881
3.881 3.881 0.000
La Sm Gd Al
1 1 1 1
Direct
0.000 0.000 0.000
0.500 0.500 0.500
0.250 0.250 0.250
0.750 0.750 0.750

=====

# 6
LaGdAlSn GGA-PBE optimized geometry; raw total energy = -28.7 eV per cell; crystal system = cubic
1.0
0.000 3.810 3.810
3.810 0.000 3.810
3.810 3.810 0.000
La Gd Al Sn
1 1 1 1
Direct
0.000 0.000 0.000
0.500 0.500 0.500
0.250 0.250 0.250
0.750 0.750 0.750

=====

Number 4 is which compound? LaGdAlRh

=====

Which formula does entry 3 have? LaPmGdAl

=====

Number 6 is which compound? LaGdAlSn